1 | Compound: Ce2PbS
Source: Alexandria via LeMat-Bulk
Functional: PBE
Structure: relaxed

## Properties
Crystal system = trigonal

Lattice parameters (Å, degrees): 3.9412 3.9412 24.8412 90.00 90.00 120.00
Space group R3m (No. 160, hexagonal axes)
Unique sites:
Ce (0.0000, 0.0000, 0.0000) x3
Ce (0.0000, 0.0000, 0.2024) x3
Pb (0.0000, 0.0000, 0.4339) x3
S (0.0000, 0.0000, 0.6017) x3

=====

2 | Compound: Ce2PbS
Source: Alexandria via LeMat-Bulk
Functional: PBE
Structure: relaxed

## Properties
Crystal system = tetragonal

Lattice parameters (Å, degrees): 3.5121 3.5121 8.1823 90.00 90.00 90.00
Space group P4/mmm (No. 123)
Unique sites:
Ce (0.0000, 0.0000, 0.2114) x2
Pb (0.5000, 0.5000, 0.5000) x1
S (0.5000, 0.5000, 0.0000) x1

=====

What are the relative energies? In meV/atom: 1 0; 2 75.